First-principles (PBE with a Hubbard U) data for an optimized crystal structure of CoTcAs2O, as listed in Alexandria via LeMat-Bulk.

Geometry as POSCAR:
```
CoTcAs2O
1.0
-2.978 -0.269 -3.483
2.117 -2.693 -1.602
-2.367 -3.212 2.271
As Co Tc O
2 1 1 1
Direct
0.000 0.000 0.500
0.500 0.000 0.000
0.500 0.500 0.500
0.000 0.500 0.000
0.000 0.000 0.000
```

Output
* electronic total energy: -0.4007 Ry/atom
* D(E_F): 3.1 states/eV/f.u.